The following is a PBE+U calculation of crystalline Tc2HWO at its relaxed geometry, from Alexandria.

V = 65.81 Å³/f.u.
density of states at the Fermi level = 4.1 states/eV per cell
E = -6.280 eV/atom
crystal system = tetragonal

Lattice parameters (Å, degrees): 4.0147 4.0830 4.0147 90.00 90.00 90.00
With the nearest neighbours (Å) after each atom.
Sites, in units of the cell vectors:
O1 0.0000 0.0000 0.0000  4 Tc 2.01, 2 W 2.04
H1 0.5000 0.5000 0.5000  4 W 2.84, 8 Tc 2.86
Tc1 0.0000 0.0000 0.5000  2 O 2.01
Tc2 0.5000 0.0000 0.0000  2 O 2.01
W1 0.0000 0.5000 0.0000  2 O 2.04